# 1
Compound: CdNiSbPt2
Source: Alexandria
Functional: PBE
Structure: optimized geometry

Cell: 4.9691 4.9691 4.6113 Å, 90.00 90.00 90.00°
Closest atoms and distances in Å follow each position.
Fractional coordinates of all 5 atoms:
Cd (0.0000, 0.0000, 0.0000)  2 Ni 2.31, 4 Pt 2.48
Ni (0.0000, 0.0000, 0.5000)  2 Cd 2.31
Sb (0.5000, 0.5000, 0.5000)  8 Pt 3.39, 4 Ni 3.51
Pt (0.0000, 0.5000, 0.0000)  2 Cd 2.48
Pt (0.5000, 0.0000, 0.0000)  2 Cd 2.48

Calculated values
**E**: -17.821 eV per cell
**Formation energy (no corrections)**: 1.0159 eV per atom
**Space-group type**: No. 123


# 2
Compound: BeTc2
Source: Alexandria
Functional: PBE
Structure: optimized geometry

Cell: 4.0913 4.0913 2.6804 Å, 90.00 90.00 120.00°
Closest atoms and distances in Å follow each position.
Fractional coordinates of all 3 atoms:
Be (0.0000, 0.0000, 0.0000)  6 Tc 2.52, 2 Be 2.68
Tc (0.3333, 0.6667, 0.3271)  3 Be 2.52, 5 Tc 2.54-2.68
Tc (0.6667, 0.3333, 0.6729)  3 Be 2.52, 5 Tc 2.54-2.68

Calculated values
**E**: -24.384 eV per cell
**Relative energy among the computed polymorphs**: 28.3 kJ per mole of atoms
**Formation energy**: 25 meV per atom
**Space-group type**: No. 164


# 3
Compound: Re2HgSb
Source: Alexandria
Functional: PBE
Structure: optimized geometry

Cell: 9.9432 3.1465 6.0454 Å, 90.00 121.39 90.00°
Closest atoms and distances in Å follow each position.
Fractional coordinates of all 8 atoms:
Re (0.0000, 0.0000, 0.0000)  2 Re 2.44
Re (0.1308, 0.5000, 0.3598)  2 Re 2.44
Re (0.5000, 0.5000, 0.0000)  2 Re 2.44
Re (0.6308, 0.0000, 0.3598)  2 Re 2.44
Hg (0.2341, 0.0000, 0.8862)  3 Re 2.75-2.84
Hg (0.7341, 0.5000, 0.8862)  3 Re 2.75-2.84
Sb (0.4057, 0.0000, 0.5208)  5 Re 2.85-2.99, 2 Sb 3.15
Sb (0.9057, 0.5000, 0.5208)  5 Re 2.85-2.99, 2 Sb 3.15

Calculated values
**E**: -52.872 eV per cell
**Formation energy (no corrections)**: 0.7211 eV per atom
**Relative energy among the computed polymorphs**: 36.0 kJ per mole of atoms
**Space-group type**: No. 8